A plane-wave DFT calculation with PBE-GGA was carried out for a geometry-optimized TlMo5 structure.

## Properties
ΔH_f (0 K) = 287 meV/atom
DOS at the Fermi energy = 0.90 states/eV per atom
Final energy = -9.13 eV per atom

CIF file:
```
data_TlMo5
_space_group_name_H-M_alt 'P 1'
_space_group_IT_number 1
_cell_length_a 3.181
_cell_length_b 3.181
_cell_length_c 10.142
_cell_angle_alpha 90.00
_cell_angle_beta 90.00
_cell_angle_gamma 90.00
loop_
_space_group_symop_operation_xyz
'x,y,z'
loop_
_atom_site_label
_atom_site_type_symbol
_atom_site_fract_x
_atom_site_fract_y
_atom_site_fract_z
Mo1 Mo 0.000 0.000 0.199
Mo2 Mo 0.500 0.500 0.345
Mo3 Mo 0.500 0.500 0.655
Mo4 Mo 0.000 0.000 0.500
Mo5 Mo 0.000 0.000 0.801
Tl1 Tl 0.500 0.500 0.000
```